This record from Alexandria via LeMat-Bulk describes crystalline Sm2Y7Th at its relaxed geometry. The functional is PBE-GGA.

Cell lengths 3.5053, 10.2803, 10.2800 Å; angles 108.64, 90.00, 90.00 degrees
Last column: nearest neighbours and their distance in Å.
Sites, in units of the cell vectors:
Sm 0.5000 0.1678 0.8321  4 Y 3.18-3.19, 2 Th 3.31, 2 Sm 3.51
Y 0.0000 0.6728 0.3272  2 Sm 3.19, 8 Y 3.38-3.51
Y 0.0000 0.3272 0.6728  2 Sm 3.19, 8 Y 3.38-3.51
Y 0.5000 0.5000 0.5000  10 Y 3.38-3.60
Th 0.0000 0.0000 0.0000  4 Sm 3.31, 2 Th 3.51
Y 0.5000 0.3869 0.1309  1 Sm 3.18, 4 Y 3.46-3.51
Y 0.5000 0.6131 0.8691  1 Sm 3.18, 4 Y 3.46-3.51
Y 0.5000 0.8691 0.6131  1 Sm 3.18, 4 Y 3.46-3.51
Sm 0.5000 0.8322 0.1679  4 Y 3.18-3.19, 2 Th 3.31, 2 Sm 3.51
Y 0.5000 0.1309 0.3869  1 Sm 3.18, 4 Y 3.46-3.51

Calculated values
calculated volume: 35.102 A^3/atom
calculated formation energy: 0.442 eV/atom
space-group type: Cmmm, No. 65

This record from Alexandria via LeMat-Bulk describes crystalline BeAuCl2 at its relaxed geometry. The functional is PBE-GGA.

Cell lengths 2.9451, 3.2915, 10.6674 Å; angles 84.72, 90.00, 90.00 degrees
Last column: nearest neighbours and their distance in Å.
Sites, in units of the cell vectors:
Au 0.5000 0.2500 0.2500  4 Au 2.95-3.29
Be 0.5000 0.7500 0.7500  4 Cl 2.08
Cl 0.0000 0.6325 0.6204  2 Be 2.08
Cl 0.0000 0.8675 0.8796  2 Be 2.08

Calculated values
calculated volume: 25.743 A^3/atom
space-group type: P2/m, No. 10
uncorrected formation energy: -0.435 eV/atom

This record from Alexandria via LeMat-Bulk describes crystalline PmInGa at its relaxed geometry. The functional is PBE-GGA.

Cell lengths 4.7391, 6.0405, 6.0405 Å; angles 84.48, 66.90, 66.90 degrees
Last column: nearest neighbours and their distance in Å.
Sites, in units of the cell vectors:
Pm 0.5000 0.5000 0.0000  6 Ga 3.21-3.37, 6 In 3.28-3.39
Pm 0.0000 0.0000 0.5000  6 Ga 3.21-3.37, 6 In 3.28-3.39
In 0.2500 0.0966 0.9034  1 Ga 2.72, 2 In 2.84
In 0.7500 0.9034 0.0966  1 Ga 2.72, 2 In 2.84
Ga 0.7500 0.5683 0.4317  2 Ga 2.62, 1 In 2.72
Ga 0.2500 0.4317 0.5683  2 Ga 2.62, 1 In 2.72

Calculated values
calculated volume: 24.328 A^3/atom
calculated formation energy: -0.510 eV/atom
space-group type: Imma, No. 74

This record from Alexandria via LeMat-Bulk describes crystalline Ba2AlSnTe5 at its relaxed geometry. The functional is PBE-GGA.

Cell lengths 4.5017, 10.8705, 13.8155 Å; angles 90.00, 90.00, 101.95 degrees
Last column: nearest neighbours and their distance in Å.
Sites, in units of the cell vectors:
Al 0.4316 0.8632 0.4424  4 Te 2.61-2.73
Te 0.7228 0.4455 0.1757  2 Sn 3.06
Ba 0.1215 0.2430 0.3028  7 Te 3.49-3.81
Ba 0.1108 0.2217 0.6798  8 Te 3.49-3.86
Te 0.0498 0.0995 0.0499  2 Al 2.73
Te 0.3140 0.6279 0.3716  1 Al 2.69
Te 0.4969 0.9937 0.2822  1 Al 2.61
Ba 0.8892 0.7783 0.1798  8 Te 3.49-3.86
Te 0.6860 0.3721 0.8716  1 Al 2.69
Al 0.5684 0.1368 0.9424  4 Te 2.61-2.73
Te 0.6447 0.2895 0.4936  1 Sn 2.91
Te 0.2772 0.5545 0.6757  2 Sn 3.06
Sn 0.7799 0.5599 0.5259  5 Te 2.91-3.18
Te 0.3553 0.7105 0.9936  1 Sn 2.91
Sn 0.2201 0.4401 0.0259  5 Te 2.91-3.18
Te 0.9502 0.9005 0.5499  2 Al 2.73
Te 0.5031 0.0063 0.7822  1 Al 2.61
Ba 0.8785 0.7570 0.8028  7 Te 3.49-3.81

Calculated values
calculated volume: 36.745 A^3/atom
space-group type: Cmc2_1, No. 36
uncorrected formation energy: -0.967 eV/atom

This record from Alexandria via LeMat-Bulk describes crystalline MnBeSe2N at its relaxed geometry. The functional is PBE-GGA.

Cell lengths 4.9101, 4.9101, 3.4341 Å; angles 90.00, 90.00, 90.00 degrees
Last column: nearest neighbours and their distance in Å.
Sites, in units of the cell vectors:
Se 0.0000 0.5000 0.0000  2 Mn 2.46
Mn 0.0000 0.0000 0.0000  2 N 1.72
Se 0.5000 0.0000 0.0000  2 Mn 2.46
N 0.0000 0.0000 0.5000  2 Mn 1.72
Be 0.5000 0.5000 0.5000  8 Se 3.00

Calculated values
calculated volume: 16.558 A^3/atom
space-group type: P4/mmm, No. 123
uncorrected formation energy: 0.465 eV/atom

This record from Alexandria via LeMat-Bulk describes crystalline FePC2 at its relaxed geometry. The functional is PBE-GGA.

Cell lengths 2.8346, 3.1363, 4.7186 Å; angles 93.05, 95.30, 112.23 degrees
Last column: nearest neighbours and their distance in Å.
Sites, in units of the cell vectors:
C 0.6924 0.3893 0.5478  1 C 1.41
Fe 0.9808 0.8052 0.9482  4 C 1.91-2.14
P 0.1559 0.3929 0.3088  2 C 1.81
C 0.6014 0.1494 0.7953  1 C 1.41

Calculated values
calculated volume: 9.622 A^3/atom
calculated formation energy: 0.488 eV/atom
space-group type: P1, No. 1

This record from Alexandria via LeMat-Bulk describes crystalline V3NiSe at its relaxed geometry. The functional is PBE-GGA.

Cell lengths 4.4437, 4.4437, 4.4437 Å; angles 90.00, 90.00, 90.00 degrees
Last column: nearest neighbours and their distance in Å.
Sites, in units of the cell vectors:
V 0.0000 0.5000 0.0000  2 Ni 2.22
Se 0.5000 0.5000 0.5000  12 V 3.14
V 0.5000 0.0000 0.0000  2 Ni 2.22
V 0.0000 0.0000 0.5000  2 Ni 2.22
Ni 0.0000 0.0000 0.0000  6 V 2.22

Calculated values
calculated volume: 17.550 A^3/atom
space-group type: Pm-3m, No. 221
uncorrected formation energy: 0.773 eV/atom

This record from Alexandria via LeMat-Bulk describes crystalline LiTlS2 at its relaxed geometry. The functional is PBE-GGA.

Cell lengths 6.6675, 6.6675, 5.8661 Å; angles 55.37, 55.37, 90.00 degrees
Last column: nearest neighbours and their distance in Å.
Sites, in units of the cell vectors:
S 0.3092 0.1908 0.0000  2 Li 2.51
S 0.8092 0.3092 0.0000  2 Li 2.51
S 0.6908 0.8092 0.0000  2 Li 2.51
S 0.1908 0.6908 0.0000  2 Li 2.51
Tl 0.7500 0.7500 0.5000  8 S 2.99, 4 Li 3.33
Li 0.2500 0.7500 0.5000  4 S 2.51
Li 0.7500 0.2500 0.5000  4 S 2.51
Tl 0.2500 0.2500 0.5000  8 S 2.99, 4 Li 3.33

Calculated values
calculated volume: 19.396 A^3/atom
space-group type: I4/mcm, No. 140
uncorrected formation energy: -0.232 eV/atom

This record from Alexandria via LeMat-Bulk describes crystalline Tb3BiPb2 at its relaxed geometry. The functional is PBE-GGA.

Cell lengths 6.3323, 8.3598, 8.1043 Å; angles 104.90, 113.00, 90.00 degrees
Last column: nearest neighbours and their distance in Å.
Sites, in units of the cell vectors:
Tb 0.8356 0.9180 0.6724  2 Bi 3.14, 4 Pb 3.17-3.19
Tb 0.1644 0.0820 0.3276  2 Bi 3.14, 4 Pb 3.17-3.19
Tb 0.8368 0.4180 0.6724  2 Bi 3.14, 4 Pb 3.17-3.19
Bi 0.9998 0.2500 0.0000  6 Tb 3.14-3.17
Pb 0.3326 0.4160 0.6641  6 Tb 3.17-3.19
Pb 0.3315 0.9160 0.6641  6 Tb 3.17-3.19
Pb 0.6685 0.0840 0.3359  6 Tb 3.17-3.19
Tb 0.5002 0.7500 0.0000  2 Bi 3.17, 4 Pb 3.19
Tb 0.4998 0.2500 0.0000  2 Bi 3.17, 4 Pb 3.19
Pb 0.6674 0.5840 0.3359  6 Tb 3.17-3.19
Bi 0.0002 0.7500 0.0000  6 Tb 3.14-3.17
Tb 0.1632 0.5820 0.3276  2 Bi 3.14, 4 Pb 3.17-3.19

Calculated values
calculated volume: 31.600 A^3/atom
calculated formation energy: -0.522 eV/atom
space-group type: Immm, No. 71

This record from Alexandria via LeMat-Bulk describes crystalline TbBiRhO6 at its relaxed geometry. The functional is PBE-GGA.

Cell lengths 5.5305, 5.5305, 9.2805 Å; angles 90.00, 90.00, 120.00 degrees
Last column: nearest neighbours and their distance in Å.
Sites, in units of the cell vectors:
O 0.6687 0.6326 0.1287  1 Rh 2.00
Bi 0.0000 0.0000 0.5000  6 O 2.28
O 0.9639 0.6326 0.3713  1 Rh 2.00
O 0.6326 0.9639 0.8713  1 Rh 2.00
O 0.3313 0.9639 0.6287  1 Rh 2.00
Rh 0.3333 0.6667 0.7500  6 O 2.00
Tb 0.3333 0.6667 0.2500  6 O 2.26
O 0.6687 0.0361 0.3713  1 Rh 2.00
Rh 0.6667 0.3333 0.2500  6 O 2.00
O 0.3674 0.0361 0.1287  1 Rh 2.00
O 0.9639 0.3313 0.1287  1 Rh 2.00
O 0.0361 0.3674 0.6287  1 Rh 2.00
O 0.3313 0.3674 0.8713  1 Rh 2.00
O 0.3674 0.3313 0.3713  1 Rh 2.00
O 0.6326 0.6687 0.6287  1 Rh 2.00
Tb 0.6667 0.3333 0.7500  6 O 2.26
Bi 0.0000 0.0000 0.0000  6 O 2.28
O 0.0361 0.6687 0.8713  1 Rh 2.00

Calculated values
calculated volume: 13.657 A^3/atom
space-group type: P-31c, No. 163
uncorrected formation energy: -1.461 eV/atom

This record from Alexandria via LeMat-Bulk describes crystalline Ca2LaRh at its relaxed geometry. The functional is PBE-GGA.

Cell lengths 9.9431, 9.9431, 7.5608 Å; angles 48.89, 48.89, 90.00 degrees
Last column: nearest neighbours and their distance in Å.
Sites, in units of the cell vectors:
Ca 0.5068 0.1250 0.2500  2 Rh 2.89
Rh 0.5000 0.5000 0.0000  2 La 2.78, 4 Ca 2.89
La 0.7500 0.2500 0.5000  2 Rh 2.78
Ca 0.3750 0.4932 0.7500  2 Rh 2.89
La 0.0000 0.0000 0.0000  2 Rh 2.78
Rh 0.2500 0.7500 0.5000  2 La 2.78, 4 Ca 2.89
Ca 0.2432 0.6250 0.2500  2 Rh 2.89
Ca 0.8750 0.7568 0.7500  2 Rh 2.89

Calculated values
calculated volume: 34.366 A^3/atom
calculated formation energy: -0.123 eV/atom
space-group type: I-42d, No. 122